1.
The following is a PBE calculation of a geometry-optimized PRu3I structure, from Alexandria.

The calculation puts the uncorrected formation energy at 0.704 eV/atom.

The structure belongs to space group Pm-3m (No. 221); the cell edges are 4.461, 4.461 and 4.461 Å and the angles 90.00°, 90.00° and 90.00°. Symmetry generates all atoms from P at (0.000, 0.000, 0.000), Ru at (0.000, 0.000, 0.500) and I at (0.500, 0.500, 0.500).



2.
The following is a PBE calculation of a geometry-optimized P2RuI structure, from Alexandria.

The calculation puts the uncorrected formation energy at 0.212 eV/atom.

The structure belongs to space group I-42d (No. 122); the cell edges are 6.360, 6.360 and 10.084 Å and the angles 90.00°, 90.00° and 90.00°. Symmetry generates all atoms from P at (0.137, 0.250, 0.125), Ru at (0.000, 0.000, 0.000) and I at (0.000, 0.000, 0.500).



3.
The following is a PBE calculation of a geometry-optimized PRuI3 structure, from Alexandria.

The calculation puts the uncorrected formation energy at 1.092 eV/atom.

The structure belongs to space group Pm-3m (No. 221); the cell edges are 5.492, 5.492 and 5.492 Å and the angles 90.00°, 90.00° and 90.00°. Symmetry generates all atoms from P at (0.000, 0.000, 0.000), Ru at (0.500, 0.500, 0.500) and I at (0.000, 0.000, 0.500).



4.
The following is a PBE calculation of a geometry-optimized P2RuSI structure, from Alexandria.

The calculation puts the uncorrected formation energy at 2.017 eV/atom.

The structure belongs to space group P4/mmm (No. 123); the cell edges are 5.107, 5.107 and 4.934 Å and the angles 90.00°, 90.00° and 90.00°. Symmetry generates all atoms from P at (0.000, 0.500, 0.000), Ru at (0.000, 0.000, 0.500), S at (0.500, 0.500, 0.500) and I at (0.500, 0.500, 0.000).



5.
The following is a PBE calculation of a geometry-optimized PRuS2I structure, from Alexandria.

The calculation puts the uncorrected formation energy at 1.819 eV/atom.

The structure belongs to space group P4/mmm (No. 123); the cell edges are 5.003, 5.003 and 5.176 Å and the angles 90.00°, 90.00° and 90.00°. Symmetry generates all atoms from P at (0.000, 0.000, 0.000), Ru at (0.500, 0.500, 0.000), S at (0.000, 0.500, 0.500) and I at (0.000, 0.000, 0.500).



6.
The following is a PBE calculation of a geometry-optimized P2RuSI structure, from Alexandria.

The calculation puts the uncorrected formation energy at 0.545 eV/atom.

The structure belongs to space group P4/mmm (No. 123); the cell edges are 4.666, 4.666 and 4.697 Å and the angles 90.00°, 90.00° and 90.00°. Symmetry generates all atoms from P at (0.000, 0.500, 0.000), Ru at (0.000, 0.000, 0.000), S at (0.000, 0.000, 0.500) and I at (0.500, 0.500, 0.500).



7.
The following is a PBE calculation of a geometry-optimized PRuS2I structure, from Alexandria.

The calculation puts the uncorrected formation energy at 0.493 eV/atom.

The structure belongs to space group P4/mmm (No. 123); the cell edges are 4.635, 4.635 and 4.769 Å and the angles 90.00°, 90.00° and 90.00°. Symmetry generates all atoms from P at (0.000, 0.000, 0.000), Ru at (0.000, 0.000, 0.500), S at (0.000, 0.500, 0.500) and I at (0.500, 0.500, 0.000).



8.
The following is a PBE calculation of a geometry-optimized SbPRuI2 structure, from Alexandria.

The calculation puts the uncorrected formation energy at 1.262 eV/atom.

The structure belongs to space group P4/mmm (No. 123); the cell edges are 5.294, 5.294 and 5.402 Å and the angles 90.00°, 90.00° and 90.00°. Symmetry generates all atoms from Sb at (0.000, 0.000, 0.000), P at (0.000, 0.000, 0.500), Ru at (0.500, 0.500, 0.000) and I at (0.000, 0.500, 0.500).



9.
The following is a PBE calculation of a geometry-optimized Sb2PRuI structure, from Alexandria.

The calculation puts the uncorrected formation energy at 0.806 eV/atom.

The structure belongs to space group P4/mmm (No. 123); the cell edges are 5.057, 5.057 and 5.406 Å and the angles 90.00°, 90.00° and 90.00°. Symmetry generates all atoms from Sb at (0.000, 0.500, 0.000), P at (0.000, 0.000, 0.500), Ru at (0.500, 0.500, 0.000) and I at (0.500, 0.500, 0.500).



10.
The following is a PBE calculation of a geometry-optimized Sb2PRuI structure, from Alexandria.

The calculation puts the uncorrected formation energy at 1.268 eV/atom.

The structure belongs to space group P4/mmm (No. 123); the cell edges are 5.174, 5.174 and 5.174 Å and the angles 90.00°, 90.00° and 90.00°. Symmetry generates all atoms from Sb at (0.000, 0.500, 0.000), P at (0.000, 0.000, 0.000), Ru at (0.500, 0.500, 0.500) and I at (0.000, 0.000, 0.500).



11.
The following is a PBE calculation of a geometry-optimized SbPRuI2 structure, from Alexandria.

The calculation puts the uncorrected formation energy at 0.894 eV/atom.

The structure belongs to space group P4/mmm (No. 123); the cell edges are 5.330, 5.330 and 5.072 Å and the angles 90.00°, 90.00° and 90.00°. Symmetry generates all atoms from Sb at (0.000, 0.000, 0.000), P at (0.500, 0.500, 0.000), Ru at (0.000, 0.000, 0.500) and I at (0.000, 0.500, 0.500).



12.
The following is a PBE calculation of a geometry-optimized Sm6PRu2I3 structure, from Alexandria.

The calculation puts the uncorrected formation energy at -0.862 eV/atom.

The structure belongs to space group C2/m (No. 12); the cell edges are 7.243, 12.537 and 8.264 Å and the angles 90.00°, 107.07° and 90.00°. Symmetry generates all atoms from Sm at (0.217, 0.000, 0.184), Sm at (0.232, 0.328, 0.185), P at (0.000, 0.500, 0.000), Ru at (0.000, 0.167, 0.000), I at (0.000, 0.000, 0.500) and I at (0.000, 0.336, 0.500).